Compound: Tl2ReGeF
Source: Alexandria
Functional: PBE
Structure: optimized geometry

Cell: 5.5484 5.5484 3.9769 Å, 90.00 90.00 90.00°
Closest atoms and distances in Å follow each position.
Element x y z (fractional)
Tl  0.0000  0.5000  0.0000  2 Ge 2.77
Tl  0.5000  0.0000  0.0000  2 Ge 2.77
Re  0.0000  0.0000  0.5000  8 Tl 3.41
Ge  0.5000  0.5000  0.0000  2 F 1.99
F  0.5000  0.5000  0.5000  2 Ge 1.99

Computed properties:
volume = 122.4 Å³/f.u.
symmetry = P4/mmm (123)
formation energy from raw total energies = 16.1 kcal/mol of atoms

***

Compound: Sc2ZnP
Source: Alexandria
Functional: PBE
Structure: optimized geometry

Cell: 4.9268 4.9268 4.9268 Å, 130.77 126.16 75.93°
Closest atoms and distances in Å follow each position.
Element x y z (fractional)
Sc  0.2401  0.2401  0.0000  4 P 2.77-3.01, 4 Zn 2.88-2.91, 4 Sc 3.03
Sc  0.7599  0.7599  0.0000  4 P 2.77-3.01, 4 Zn 2.88-2.91, 4 Sc 3.03
Zn  0.5000  0.0000  0.5000  8 Sc 2.88-2.91, 4 P 3.03
P  0.0000  0.5000  0.5000  8 Sc 2.77-3.01, 4 Zn 3.03

Computed properties:
volume = 71.1 Å³/f.u.
symmetry = Immm (71)
distance to the lowest polymorph of the same formula = 261 meV per atom
formation enthalpy at 0 K = -229 kJ/mol of formula units

***

Compound: Ti6NbAl5
Source: Alexandria
Functional: PBE
Structure: optimized geometry

Cell: 7.2173 7.2173 6.3273 Å, 90.00 90.00 143.28°
Closest atoms and distances in Å follow each position.
Element x y z (fractional)
Ti  0.0000  0.0000  0.2370  6 Al 2.69-2.77, 2 Nb 2.82, 1 Ti 3.00
Ti  0.0000  0.0000  0.7630  6 Al 2.69-2.77, 2 Nb 2.82, 1 Ti 3.00
Ti  0.3316  0.6684  0.2577  7 Al 2.74-2.87, 1 Nb 2.77, 1 Ti 3.07
Ti  0.3316  0.6684  0.7423  7 Al 2.74-2.87, 1 Nb 2.77, 1 Ti 3.07
Ti  0.6684  0.3316  0.2577  7 Al 2.74-2.87, 1 Nb 2.77, 1 Ti 3.07
Ti  0.6684  0.3316  0.7423  7 Al 2.74-2.87, 1 Nb 2.77, 1 Ti 3.07
Nb  0.5000  0.5000  0.5000  8 Ti 2.77-2.82
Al  0.1546  0.8454  0.5000  8 Ti 2.69-2.87
Al  0.1704  0.8296  0.0000  8 Ti 2.74-2.80
Al  0.5000  0.5000  0.0000  8 Ti 2.72-2.83
Al  0.8296  0.1704  0.0000  8 Ti 2.74-2.80
Al  0.8454  0.1546  0.5000  8 Ti 2.69-2.87

Computed properties:
volume = 197.1 Å³/f.u.
symmetry = Cmmm (65)
formation enthalpy at 0 K = -379 kJ/mol of formula units

***

Compound: Ce2ScPa
Source: Alexandria
Functional: PBE
Structure: optimized geometry

Cell: 4.6982 4.6982 4.6494 Å, 90.00 90.00 90.00°
Closest atoms and distances in Å follow each position.
Element x y z (fractional)
Ce  0.0000  0.5000  0.0000  4 Pa 3.30, 4 Sc 3.30, 4 Ce 3.32
Ce  0.5000  0.0000  0.0000  4 Pa 3.30, 4 Sc 3.30, 4 Ce 3.32
Sc  0.0000  0.0000  0.5000  8 Ce 3.30, 4 Pa 3.32
Pa  0.5000  0.5000  0.5000  8 Ce 3.30, 4 Sc 3.32

Computed properties:
volume = 102.6 Å³/f.u.
symmetry = P4/mmm (123)
distance to the lowest polymorph of the same formula = 93 meV per atom
formation enthalpy at 0 K = 58 kJ/mol of formula units

***

Compound: Hf2TaCu2
Source: Alexandria
Functional: PBE
Structure: optimized geometry

Cell: 7.6583 7.6583 3.0275 Å, 90.00 90.00 90.00°
Closest atoms and distances in Å follow each position.
Element x y z (fractional)
Hf  0.1621  0.3379  0.0000  6 Cu 2.69-2.73, 2 Ta 2.87
Hf  0.3379  0.8379  0.0000  6 Cu 2.69-2.73, 2 Ta 2.87
Hf  0.6621  0.1621  0.0000  6 Cu 2.69-2.73, 2 Ta 2.87
Hf  0.8379  0.6621  0.0000  6 Cu 2.69-2.73, 2 Ta 2.87
Ta  0.0000  0.0000  0.0000  4 Hf 2.87, 2 Ta 3.03
Ta  0.5000  0.5000  0.0000  4 Hf 2.87, 2 Ta 3.03
Cu  0.1328  0.6328  0.5000  6 Hf 2.69-2.73, 1 Cu 2.88
Cu  0.3672  0.1328  0.5000  6 Hf 2.69-2.73, 1 Cu 2.88
Cu  0.6328  0.8672  0.5000  6 Hf 2.69-2.73, 1 Cu 2.88
Cu  0.8672  0.3672  0.5000  6 Hf 2.69-2.73, 1 Cu 2.88

Computed properties:
volume = 88.8 Å³/f.u.
symmetry = P4/mbm (127)
distance to the lowest polymorph of the same formula = 234 meV per atom
formation enthalpy at 0 K = 120 kJ/mol of formula units

***

Compound: Ac4SiTe2I
Source: Alexandria
Functional: PBE
Structure: optimized geometry

Cell: 8.1472 4.6693 8.2401 Å, 90.00 108.91 90.00°
Closest atoms and distances in Å follow each position.
Element x y z (fractional)
Ac  0.2269  0.0000  0.2195  2 Si 3.16, 3 Te 3.29-3.52, 1 I 3.40
Ac  0.2427  0.5000  0.7752  1 Si 3.12, 2 Te 3.28, 2 I 3.41
Ac  0.7573  0.5000  0.2248  1 Si 3.12, 2 Te 3.28, 2 I 3.41
Ac  0.7731  0.0000  0.7805  2 Si 3.16, 3 Te 3.29-3.52, 1 I 3.40
Si  0.0000  0.5000  0.0000  6 Ac 3.12-3.16
Te  0.5000  0.0000  0.0000  6 Ac 3.28-3.29
Te  0.5000  0.5000  0.5000  6 Ac 3.52-3.55
I  0.0000  0.0000  0.5000  6 Ac 3.40-3.41

Computed properties:
volume = 296.6 Å³/f.u.
symmetry = P2/m (10)
formation energy from raw total energies = -27.2 kcal/mol of atoms

***

Compound: MnIn2Rh
Source: Alexandria
Functional: PBE
Structure: optimized geometry

Cell: 8.8468 8.8468 8.8468 Å, 20.33 20.33 20.33°
Closest atoms and distances in Å follow each position.
Element x y z (fractional)
Mn  0.0000  0.0000  0.0000  6 In 2.88, 6 Mn 3.12
In  0.2471  0.2471  0.2471  3 Rh 2.76, 3 Mn 2.88
In  0.7529  0.7529  0.7529  3 Rh 2.76, 3 Mn 2.88
Rh  0.5000  0.5000  0.5000  6 In 2.76

Computed properties:
volume = 73.1 Å³/f.u.
symmetry = R-3m (166)
formation enthalpy at 0 K = 31 kJ/mol of formula units

***

| no. | M_tot (μB/f.u.) | DFT total energy (hartree per atom) |
| --- | --- | --- |
| 1 | 3.65 | -0.1483 |
| 2 | 0.83 | -0.1995 |
| 3 | 0.00 | -0.2452 |
| 4 | 0.00 | -0.2489 |
| 5 | 0.00 | -0.2845 |
| 6 | 0.00 | -0.1798 |
| 7 | 3.36 | -0.1992 |